## P
# TbErTlRh

TbErTlRh after structural relaxation (PBE, Alexandria).

a = 5.104 Å, b = 5.104 Å, c = 5.104 Å
α = 60.00°, β = 60.00°, γ = 60.00°
Positions (direct):
Tb: 0.000 0.000 0.000
Er: 0.500 0.500 0.500
Tl: 0.750 0.750 0.750
Rh: 0.250 0.250 0.250

Summary:
Its space-group type is F-43m. The value obtained for the calculated density is 11.2 g cm⁻³. Its total magnetization is 0.0000 μB per atom.



## Q
# TbErTlRh

TbErTlRh after structural relaxation (PBE, Alexandria).

a = 3.524 Å, b = 3.524 Å, c = 7.613 Å
α = 90.00°, β = 90.00°, γ = 90.00°
Positions (direct):
Tb: 0.000 0.000 0.000
Er: 0.000 0.000 0.570
Tl: 0.500 0.500 0.289
Rh: 0.500 0.500 0.778

Summary:
Its space-group type is P4mm. The value obtained for the calculated density is 11.1 g cm⁻³. Its total magnetization is 0.0000 μB per atom.



Verdict on stability: Q comes out on top.



## P
# Er7Te2Rh2

Er7Te2Rh2 after structural relaxation (PBE, Alexandria).

a = 9.355 Å, b = 9.355 Å, c = 9.355 Å
α = 156.06°, β = 66.38°, γ = 119.12°
Positions (direct):
Er: 0.000 0.000 0.000
Er: 0.056 0.373 0.683
Er: 0.085 0.732 0.353
Er: 0.379 0.732 0.647
Er: 0.450 0.582 0.868
Er: 0.690 0.373 0.317
Er: 0.713 0.582 0.132
Te: 0.337 0.337 0.000
Te: 0.734 0.234 0.500
Rh: 0.307 0.069 0.238
Rh: 0.832 0.069 0.762

Summary:
Its space-group type is Imm2. The value obtained for the calculated density is 9.4 g cm⁻³. Its total magnetization is 0.0000 μB per atom.



## Q
# Er7Te2Rh2

Er7Te2Rh2 after structural relaxation (PBE, Alexandria).

a = 7.050 Å, b = 7.050 Å, c = 7.702 Å
α = 98.17°, β = 98.17°, γ = 107.42°
Positions (direct):
Er: 0.000 0.000 0.000
Er: 0.074 0.537 0.797
Er: 0.431 0.431 0.200
Er: 0.463 0.926 0.203
Er: 0.537 0.074 0.797
Er: 0.569 0.569 0.800
Er: 0.926 0.463 0.203
Te: 0.300 0.700 0.500
Te: 0.700 0.300 0.500
Rh: 0.264 0.264 0.861
Rh: 0.736 0.736 0.139

Summary:
Its space-group type is C2/m. The value obtained for the calculated density is 7.6 g cm⁻³. Its total magnetization is 0.0001 μB per atom.



Verdict on stability: P comes out on top.



## P
# Er3Te2Rh

Er3Te2Rh after structural relaxation (PBE, Alexandria).

a = 9.655 Å, b = 9.655 Å, c = 9.655 Å
α = 154.88°, β = 154.88°, γ = 35.83°
Positions (direct):
Er: 0.000 0.000 0.000
Er: 0.360 0.360 0.000
Er: 0.640 0.640 0.000
Te: 0.179 0.179 0.000
Te: 0.821 0.821 0.000
Rh: 0.500 0.500 0.000

Summary:
Its space-group type is I4/mmm. The value obtained for the calculated density is 8.8 g cm⁻³. Its total magnetization is 0.0000 μB per atom.



## Q
# Er3Te2Rh

Er3Te2Rh after structural relaxation (PBE, Alexandria).

a = 7.864 Å, b = 7.864 Å, c = 4.121 Å
α = 90.00°, β = 90.00°, γ = 135.35°
Positions (direct):
Er: 0.000 0.000 0.000
Er: 0.377 0.623 0.500
Er: 0.623 0.377 0.500
Te: 0.160 0.840 0.500
Te: 0.840 0.160 0.500
Rh: 0.500 0.500 0.000

Summary:
Its space-group type is Cmmm. The value obtained for the calculated density is 8.0 g cm⁻³. Its total magnetization is 0.0000 μB per atom.



Verdict on stability: P comes out on top.



## P
# Er2TlRh

Er2TlRh after structural relaxation (PBE, Alexandria).

a = 5.070 Å, b = 5.070 Å, c = 5.070 Å
α = 60.00°, β = 60.00°, γ = 60.00°
Positions (direct):
Er: 0.250 0.250 0.250
Er: 0.750 0.750 0.750
Tl: 0.000 0.000 0.000
Rh: 0.500 0.500 0.500

Summary:
Its space-group type is Fm-3m. The value obtained for the calculated density is 11.6 g cm⁻³. Its total magnetization is 0.0000 μB per atom.



## Q
# Er2TlRh

Er2TlRh after structural relaxation (PBE, Alexandria).

a = 3.508 Å, b = 3.508 Å, c = 7.536 Å
α = 90.00°, β = 90.00°, γ = 90.00°
Positions (direct):
Er: 0.000 0.000 0.215
Er: 0.000 0.000 0.785
Tl: 0.500 0.500 0.500
Rh: 0.500 0.500 0.000

Summary:
Its space-group type is P4/mmm. The value obtained for the calculated density is 11.5 g cm⁻³. Its total magnetization is 0.0000 μB per atom.



Verdict on stability: Q comes out on top.



## P
# Er2TlRh

Er2TlRh after structural relaxation (PBE, Alexandria).

a = 8.430 Å, b = 8.430 Å, c = 8.430 Å
α = 26.55°, β = 26.55°, γ = 26.55°
Positions (direct):
Er: 0.000 0.000 0.000
Er: 0.203 0.203 0.203
Tl: 0.768 0.768 0.768
Rh: 0.602 0.602 0.602

Summary:
Its space-group type is R3m. The value obtained for the calculated density is 10.1 g cm⁻³. Its total magnetization is 0.0000 μB per atom.



## Q
# Er2TlRh

Er2TlRh after structural relaxation (PBE, Alexandria).

a = 8.491 Å, b = 8.491 Å, c = 8.491 Å
α = 26.04°, β = 26.04°, γ = 26.04°
Positions (direct):
Er: 0.233 0.233 0.233
Er: 0.767 0.767 0.767
Tl: 0.000 0.000 0.000
Rh: 0.500 0.500 0.500

Summary:
Its space-group type is R-3m. The value obtained for the calculated density is 10.3 g cm⁻³. Its total magnetization is 0.0000 μB per atom.



Verdict on stability: Q comes out on top.



## P
# Er5Tl4Rh

Er5Tl4Rh after structural relaxation (PBE, Alexandria).

a = 3.491 Å, b = 3.491 Å, c = 20.682 Å
α = 90.00°, β = 90.00°, γ = 90.00°
Positions (direct):
Er: 0.000 0.000 0.000
Er: 0.000 0.000 0.208
Er: 0.000 0.000 0.420
Er: 0.000 0.000 0.580
Er: 0.000 0.000 0.792
Tl: 0.500 0.500 0.104
Tl: 0.500 0.500 0.312
Tl: 0.500 0.500 0.688
Tl: 0.500 0.500 0.896
Rh: 0.500 0.500 0.500

Summary:
Its space-group type is P4/mmm. The value obtained for the calculated density is 11.6 g cm⁻³. Its total magnetization is 0.0420 μB per atom.



## Q
# Er5Tl4Rh

Er5Tl4Rh after structural relaxation (PBE, Alexandria).

a = 7.575 Å, b = 7.575 Å, c = 7.575 Å
α = 98.16°, β = 98.16°, γ = 135.73°
Positions (direct):
Er: 0.000 0.000 0.000
Er: 0.272 0.635 0.905
Er: 0.367 0.272 0.637
Er: 0.635 0.729 0.363
Er: 0.729 0.367 0.095
Tl: 0.048 0.343 0.390
Tl: 0.343 0.953 0.295
Tl: 0.659 0.048 0.705
Tl: 0.953 0.659 0.610
Rh: 0.500 0.500 0.000

Summary:
Its space-group type is I4. The value obtained for the calculated density is 10.4 g cm⁻³. Its total magnetization is 0.0000 μB per atom.



Verdict on stability: P comes out on top.



## P
# Er3TmRh2

Er3TmRh2 after structural relaxation (PBE, Alexandria).

a = 4.592 Å, b = 8.669 Å, c = 7.134 Å
α = 90.00°, β = 90.00°, γ = 90.00°
Positions (direct):
Er: 0.000 0.086 0.000
Er: 0.000 0.331 0.370
Er: 0.000 0.669 0.870
Er: 0.000 0.914 0.500
Er: 0.500 0.170 0.653
Er: 0.500 0.830 0.153
Tm: 0.500 0.414 0.024
Tm: 0.500 0.586 0.524
Rh: 0.000 0.343 0.770
Rh: 0.000 0.657 0.270
Rh: 0.500 0.159 0.254
Rh: 0.500 0.841 0.754

Summary:
Its space-group type is Pmc2_1. The value obtained for the calculated density is 10.3 g cm⁻³. Its total magnetization is 0.0000 μB per atom.



## Q
# Er3TmRh2

Er3TmRh2 after structural relaxation (PBE, Alexandria).

a = 8.214 Å, b = 8.214 Å, c = 10.432 Å
α = 114.28°, β = 114.28°, γ = 29.87°
Positions (direct):
Er: 0.053 0.053 0.212
Er: 0.209 0.209 0.592
Er: 0.333 0.333 0.969
Er: 0.667 0.667 0.031
Er: 0.791 0.791 0.408
Er: 0.947 0.947 0.788
Tm: 0.428 0.428 0.332
Tm: 0.572 0.572 0.668
Rh: 0.138 0.138 0.846
Rh: 0.383 0.383 0.588
Rh: 0.617 0.617 0.412
Rh: 0.862 0.862 0.154

Summary:
Its space-group type is C2/m. The value obtained for the calculated density is 9.2 g cm⁻³. Its total magnetization is 0.0000 μB per atom.



Verdict on stability: P comes out on top.



## P
# ErTm4Rh2

ErTm4Rh2 after structural relaxation (PBE, Alexandria).

a = 7.737 Å, b = 6.246 Å, c = 7.794 Å
α = 90.00°, β = 112.50°, γ = 90.00°
Positions (direct):
Er: 0.026 0.250 0.160
Er: 0.974 0.750 0.840
Tm: 0.238 0.502 0.588
Tm: 0.238 0.998 0.588
Tm: 0.335 0.750 0.248
Tm: 0.384 0.250 0.018
Tm: 0.616 0.750 0.982
Tm: 0.665 0.250 0.752
Tm: 0.762 0.002 0.412
Tm: 0.762 0.498 0.412
Rh: 0.012 0.250 0.744
Rh: 0.412 0.250 0.375
Rh: 0.588 0.750 0.625
Rh: 0.988 0.750 0.256

Summary:
Its space-group type is P2_1/m. The value obtained for the calculated density is 10.0 g cm⁻³. Its total magnetization is 0.0000 μB per atom.



## Q
# ErTm4Rh2

ErTm4Rh2 after structural relaxation (PBE, Alexandria).

a = 6.351 Å, b = 7.538 Å, c = 8.434 Å
α = 100.85°, β = 104.34°, γ = 107.55°
Positions (direct):
Er: 0.000 0.000 0.000
Er: 0.232 0.914 0.393
Tm: 0.015 0.501 0.964
Tm: 0.257 0.422 0.368
Tm: 0.478 0.069 0.820
Tm: 0.488 0.564 0.801
Tm: 0.614 0.754 0.233
Tm: 0.634 0.203 0.253
Tm: 0.909 0.632 0.587
Tm: 0.956 0.146 0.628
Rh: 0.351 0.345 0.033
Rh: 0.583 0.811 0.577
Rh: 0.584 0.284 0.592
Rh: 0.889 0.549 0.243

Summary:
Its space-group type is P1. The value obtained for the calculated density is 9.7 g cm⁻³. Its total magnetization is 0.0000 μB per atom.



Verdict on stability: Q comes out on top.



## P
# Er2TmRh

Er2TmRh after structural relaxation (PBE, Alexandria).

a = 3.472 Å, b = 3.472 Å, c = 8.435 Å
α = 90.00°, β = 90.00°, γ = 90.00°
Positions (direct):
Er: 0.000 0.000 0.191
Er: 0.000 0.000 0.809
Tm: 0.500 0.500 0.500
Rh: 0.500 0.500 0.000

Summary:
Its space-group type is P4/mmm. The value obtained for the calculated density is 9.9 g cm⁻³. Its total magnetization is 0.0004 μB per atom.



## Q
# Er2TmRh

Er2TmRh after structural relaxation (PBE, Alexandria).

a = 9.640 Å, b = 9.640 Å, c = 9.640 Å
α = 22.01°, β = 22.01°, γ = 22.01°
Positions (direct):
Er: 0.228 0.228 0.228
Er: 0.772 0.772 0.772
Tm: 0.000 0.000 0.000
Rh: 0.500 0.500 0.500

Summary:
Its space-group type is R-3m. The value obtained for the calculated density is 9.1 g cm⁻³. Its total magnetization is 0.1661 μB per atom.



Verdict on stability: P comes out on top.



## P
# Er2TmRh

Er2TmRh after structural relaxation (PBE, Alexandria).

a = 7.103 Å, b = 9.305 Å, c = 6.254 Å
α = 90.00°, β = 90.00°, γ = 90.00°
Positions (direct):
Er: 0.179 0.063 0.174
Er: 0.179 0.437 0.174
Er: 0.321 0.563 0.674
Er: 0.321 0.937 0.674
Er: 0.679 0.063 0.326
Er: 0.679 0.437 0.326
Er: 0.821 0.563 0.826
Er: 0.821 0.937 0.826
Tm: 0.035 0.250 0.633
Tm: 0.465 0.750 0.133
Tm: 0.535 0.250 0.867
Tm: 0.965 0.750 0.367
Rh: 0.115 0.750 0.951
Rh: 0.385 0.250 0.451
Rh: 0.615 0.750 0.549
Rh: 0.885 0.250 0.049

Summary:
Its space-group type is Pnma. The value obtained for the calculated density is 9.7 g cm⁻³. Its total magnetization is 0.0000 μB per atom.



## Q
# Er2TmRh

Er2TmRh after structural relaxation (PBE, Alexandria).

a = 6.180 Å, b = 6.180 Å, c = 9.224 Å
α = 90.00°, β = 90.00°, γ = 144.29°
Positions (direct):
Er: 0.139 0.861 0.566
Er: 0.139 0.861 0.934
Er: 0.861 0.139 0.066
Er: 0.861 0.139 0.434
Tm: 0.425 0.575 0.750
Tm: 0.575 0.425 0.250
Rh: 0.252 0.748 0.250
Rh: 0.748 0.252 0.750

Summary:
Its space-group type is Cmcm. The value obtained for the calculated density is 9.8 g cm⁻³. Its total magnetization is 0.0002 μB per atom.



Verdict on stability: P comes out on top.



## P
# Er2TmRh2

Er2TmRh2 after structural relaxation (PBE, Alexandria).

a = 8.598 Å, b = 8.598 Å, c = 7.140 Å
α = 90.00°, β = 90.00°, γ = 153.62°
Positions (direct):
Er: 0.031 0.969 0.500
Er: 0.190 0.810 0.784
Er: 0.810 0.190 0.284
Er: 0.969 0.031 0.000
Tm: 0.379 0.621 0.667
Tm: 0.621 0.379 0.167
Rh: 0.194 0.806 0.376
Rh: 0.445 0.555 0.300
Rh: 0.555 0.445 0.800
Rh: 0.806 0.194 0.876

Summary:
Its space-group type is Cmc2_1. The value obtained for the calculated density is 10.0 g cm⁻³. Its total magnetization is 0.0000 μB per atom.



## Q
# Er2TmRh2

Er2TmRh2 after structural relaxation (PBE, Alexandria).

a = 7.635 Å, b = 7.635 Å, c = 5.533 Å
α = 90.00°, β = 90.00°, γ = 133.95°
Positions (direct):
Er: 0.082 0.918 0.750
Er: 0.280 0.720 0.250
Er: 0.720 0.280 0.750
Er: 0.918 0.082 0.250
Tm: 0.500 0.500 0.000
Tm: 0.500 0.500 0.500
Rh: 0.119 0.367 0.750
Rh: 0.367 0.119 0.250
Rh: 0.633 0.881 0.750
Rh: 0.881 0.633 0.250

Summary:
Its space-group type is Cmcm. The value obtained for the calculated density is 10.1 g cm⁻³. Its total magnetization is 0.0002 μB per atom.



Verdict on stability: P comes out on top.



## P
# ErTm2Rh2

ErTm2Rh2 after structural relaxation (PBE, Alexandria).

a = 4.717 Å, b = 4.717 Å, c = 5.949 Å
α = 90.00°, β = 90.00°, γ = 120.00°
Positions (direct):
Er: 0.000 0.000 0.000
Tm: 0.333 0.667 0.665
Tm: 0.667 0.333 0.335
Rh: 0.333 0.667 0.168
Rh: 0.667 0.333 0.832

Summary:
Its space-group type is P-3m1. The value obtained for the calculated density is 10.3 g cm⁻³. Its total magnetization is 0.0000 μB per atom.



## Q
# ErTm2Rh2

ErTm2Rh2 after structural relaxation (PBE, Alexandria).

a = 8.560 Å, b = 8.560 Å, c = 7.165 Å
α = 90.00°, β = 90.00°, γ = 153.65°
Positions (direct):
Er: 0.122 0.878 0.500
Er: 0.878 0.122 0.000
Tm: 0.312 0.688 0.384
Tm: 0.469 0.531 0.668
Tm: 0.531 0.469 0.168
Tm: 0.688 0.312 0.884
Rh: 0.054 0.946 0.869
Rh: 0.305 0.695 0.786
Rh: 0.695 0.305 0.286
Rh: 0.946 0.054 0.369

Summary:
Its space-group type is Cmc2_1. The value obtained for the calculated density is 10.1 g cm⁻³. Its total magnetization is 0.0000 μB per atom.



Verdict on stability: P comes out on top.